Li2CdRh | PBE | relaxed

a b c (Å): 3.3694 4.2284 4.3496
angles (deg): 90.00 90.00 90.00
Atoms (fractional coordinates):
Li1 0.0000 0.0000 0.0000
Li2 0.5000 0.0000 0.5000
Cd1 0.0000 0.5000 0.5000
Rh1 0.5000 0.5000 0.0000

Properties
Space group ... No. 47
Final energy ... -3.240 eV/atom
Fermi-level density of states ... 0.78 states/eV/cell
Volume ... 62 Å³/cell